Entry from Alexandria: a relaxed TiAl2Tl2O6 crystal (GGA-PBE).

Unit cell a=5.7435 b=5.7435 c=17.2958 alpha=90.00 beta=90.00 gamma=120.00
Space group R-3m (No. 166, hexagonal axes)
Symmetry-distinct sites (fractional):
Ti: 0.0000 0.0000 0.0000
Al: 0.0000 0.0000 0.3933
Tl: 0.0000 0.0000 0.2030
O: 0.0107 0.5053 0.7346

Output
Size of the total moment: 0.00 μB per cell
Total DFT energy (no corrections): -218.66 eV per cell